A.
The following is a DFT calculation (PBE) of a relaxed Li2RhS2 crystal.

Summary:
- symmetry = P4/mbm (127)
- size of the total moment (μB per formula unit) = 0.0

Cell: 6.4525 6.4525 3.4923 Å, 90.00 90.00 90.00°
Element x y z (fractional)
Rh  0.5000  0.5000  0.0000
Rh  0.0000  0.0000  0.0000
S  0.6723  0.1723  0.0000
S  0.3277  0.8277  0.0000
S  0.8277  0.6723  0.0000
S  0.1723  0.3277  0.0000
Li  0.8599  0.3599  0.5000
Li  0.3599  0.1401  0.5000
Li  0.6401  0.8599  0.5000
Li  0.1401  0.6401  0.5000


B.
The following is a DFT calculation (PBE) of a relaxed Li2RhS2 crystal.

Summary:
- symmetry = P4/mbm (127)
- size of the total moment (μB per formula unit) = 0.0

Cell: 6.6159 6.6159 3.0138 Å, 90.00 90.00 90.00°
Element x y z (fractional)
Rh  0.5000  0.5000  0.0000
Rh  0.0000  0.0000  0.0000
Li  0.1186  0.3814  0.0000
Li  0.3814  0.8814  0.0000
Li  0.6186  0.1186  0.0000
Li  0.8814  0.6186  0.0000
S  0.1937  0.6937  0.5000
S  0.3063  0.1937  0.5000
S  0.8063  0.3063  0.5000
S  0.6937  0.8063  0.5000


In terms of stability, A leads; the second structure lies 322 meV per atom higher.